Entry 1:
# ThBeSi | Alexandria via LeMat-Bulk | PBE-GGA | relaxed
data_ThBeSi
_chemical_formula_sum 'Th3 Be3 Si3'
_cell_length_a 3.9270
_cell_length_b 3.9270
_cell_length_c 12.7989
_cell_angle_alpha 90.00
_cell_angle_beta 90.00
_cell_angle_gamma 120.00
_space_group_name_H-M_alt 'P 1'
_space_group_IT_number 1
loop_
_space_group_symop_operation_xyz
'x,y,z'
loop_
_atom_site_label
_atom_site_type_symbol
_atom_site_fract_x
_atom_site_fract_y
_atom_site_fract_z
Th1 Th 0.0000 0.0000 0.0000
Th2 Th 0.0000 0.0000 0.3334
Th3 Th 0.0000 0.0000 0.6666
Be1 Be 0.3333 0.6667 0.5000
Be2 Be 0.6667 0.3333 0.1663
Be3 Be 0.6667 0.3333 0.8337
Si1 Si 0.3333 0.6667 0.1672
Si2 Si 0.3333 0.6667 0.8328
Si3 Si 0.6667 0.3333 0.5000
# magnetization = 0.000 μB/f.u.
# ΔE_f (raw) = -657 meV/atom
# space-group type = P-6m2


Entry 2:
# NpPaCl | Alexandria via LeMat-Bulk | PBE-GGA | relaxed
data_NpPaCl
_chemical_formula_sum 'Np4 Pa4 Cl4'
_cell_length_a 7.3016
_cell_length_b 6.9493
_cell_length_c 8.2832
_cell_angle_alpha 56.47
_cell_angle_beta 52.50
_cell_angle_gamma 71.03
_space_group_name_H-M_alt 'P 1'
_space_group_IT_number 1
loop_
_space_group_symop_operation_xyz
'x,y,z'
loop_
_atom_site_label
_atom_site_type_symbol
_atom_site_fract_x
_atom_site_fract_y
_atom_site_fract_z
Np1 Np 0.2900 0.7100 0.4804
Np2 Np 0.7100 0.2900 0.5196
Np3 Np 0.7304 0.7696 0.5400
Np4 Np 0.7696 0.7304 0.9600
Pa1 Pa 0.4194 0.4919 0.7608
Pa2 Pa 0.4892 0.9221 0.8306
Pa3 Pa 0.4919 0.4194 0.3279
Pa4 Pa 0.9221 0.4892 0.7581
Cl1 Cl 0.0635 0.6419 0.1220
Cl2 Cl 0.0775 0.1280 0.6081
Cl3 Cl 0.1280 0.0775 0.1865
Cl4 Cl 0.6419 0.0635 0.1725
# magnetization = 0.406 μB/f.u.
# ΔE_f (raw) = -262 meV/atom
# space-group type = Fdd2


Entry 3:
# CoRh | Alexandria via LeMat-Bulk | PBE-GGA | relaxed
data_CoRh
_chemical_formula_sum 'Co3 Rh3'
_cell_length_a 6.8993
_cell_length_b 6.8993
_cell_length_c 2.7348
_cell_angle_alpha 90.00
_cell_angle_beta 90.00
_cell_angle_gamma 143.58
_space_group_name_H-M_alt 'P 1'
_space_group_IT_number 1
loop_
_space_group_symop_operation_xyz
'x,y,z'
loop_
_atom_site_label
_atom_site_type_symbol
_atom_site_fract_x
_atom_site_fract_y
_atom_site_fract_z
Co1 Co 0.0000 0.0000 0.0000
Co2 Co 0.1461 0.8539 0.5000
Co3 Co 0.8539 0.1461 0.5000
Rh1 Rh 0.3162 0.6838 0.0000
Rh2 Rh 0.5000 0.5000 0.5000
Rh3 Rh 0.6838 0.3162 0.0000
# energy relative to the elements = 117 meV/atom
# magnetization = 2.467 μB/f.u.
# space-group type = Cmmm


Entry 4:
# In5GaRh6 | Alexandria via LeMat-Bulk | PBE-GGA | relaxed
data_In5GaRh6
_chemical_formula_sum 'In5 Ga1 Rh6'
_cell_length_a 7.0138
_cell_length_b 7.0138
_cell_length_c 6.6999
_cell_angle_alpha 90.00
_cell_angle_beta 90.00
_cell_angle_gamma 143.13
_space_group_name_H-M_alt 'P 1'
_space_group_IT_number 1
loop_
_space_group_symop_operation_xyz
'x,y,z'
loop_
_atom_site_label
_atom_site_type_symbol
_atom_site_fract_x
_atom_site_fract_y
_atom_site_fract_z
In1 In 0.0000 0.0000 0.0000
In2 In 0.3331 0.6669 0.0000
In3 In 0.3327 0.6673 0.5000
In4 In 0.6669 0.3331 0.0000
In5 In 0.6673 0.3327 0.5000
Ga1 Ga 0.0000 0.0000 0.5000
Rh1 Rh 0.1620 0.8380 0.2563
Rh2 Rh 0.1620 0.8380 0.7437
Rh3 Rh 0.5000 0.5000 0.2629
Rh4 Rh 0.5000 0.5000 0.7371
Rh5 Rh 0.8380 0.1620 0.2563
Rh6 Rh 0.8380 0.1620 0.7437
# energy relative to the elements = -447 meV/atom
# magnetization = 0.000 μB/f.u.
# space-group type = Cmmm


Entry 5:
# Li3PaTc2N6 | Alexandria via LeMat-Bulk | PBE-GGA | relaxed
data_Li3PaTc2N6
_chemical_formula_sum 'Li3 Pa1 Tc2 N6'
_cell_length_a 7.1296
_cell_length_b 7.1296
_cell_length_c 6.2533
_cell_angle_alpha 104.07
_cell_angle_beta 104.07
_cell_angle_gamma 24.95
_space_group_name_H-M_alt 'P 1'
_space_group_IT_number 1
loop_
_space_group_symop_operation_xyz
'x,y,z'
loop_
_atom_site_label
_atom_site_type_symbol
_atom_site_fract_x
_atom_site_fract_y
_atom_site_fract_z
Li1 Li 0.0000 0.0000 0.0000
Li2 Li 0.3185 0.3185 0.6601
Li3 Li 0.6815 0.6815 0.3399
Pa1 Pa 0.0000 0.0000 0.5000
Tc1 Tc 0.3218 0.3218 0.1322
Tc2 Tc 0.6782 0.6782 0.8678
N1 N 0.1654 0.1654 0.6256
N2 N 0.1711 0.1711 0.0929
N3 N 0.4798 0.4798 0.2369
N4 N 0.5202 0.5202 0.7631
N5 N 0.8289 0.8289 0.9071
N6 N 0.8346 0.8346 0.3744
# magnetization = 0.000 μB/f.u.
# ΔE_f (raw) = -482 meV/atom
# space-group type = C2/m


Entry 6:
# Pr4DyTm | Alexandria via LeMat-Bulk | PBE-GGA | relaxed
data_Pr4DyTm
_chemical_formula_sum 'Pr4 Dy1 Tm1'
_cell_length_a 8.3310
_cell_length_b 8.3310
_cell_length_c 3.5055
_cell_angle_alpha 90.00
_cell_angle_beta 90.00
_cell_angle_gamma 90.03
_space_group_name_H-M_alt 'P 1'
_space_group_IT_number 1
loop_
_space_group_symop_operation_xyz
'x,y,z'
loop_
_atom_site_label
_atom_site_type_symbol
_atom_site_fract_x
_atom_site_fract_y
_atom_site_fract_z
Pr1 Pr 0.2381 0.7619 0.0000
Pr2 Pr 0.2600 0.2600 0.5000
Pr3 Pr 0.7400 0.7400 0.5000
Pr4 Pr 0.7619 0.2381 0.0000
Dy1 Dy 0.5000 0.5000 0.0000
Tm1 Tm 0.0000 0.0000 0.5000
# energy above the most stable polymorph in this dataset = 0.5692 eV per atom
# energy relative to the elements = 594 meV/atom
# magnetization = 0.000 μB/f.u.
# space-group type = Cmmm